Record 1
TcTePO PBE-GGA relaxed; DFT total energy = -0.2200 hartree per atom; space-group type = P4/nmm, No. 129; theoretical density = 5.22 g/cm³; excess energy over the best structure of this formula in the dataset = 36.5 kJ per mole of atoms; calculated volume = 86.8 Å³/f.u.
1.0
1.772 1.576 3.423
-3.763 0.574 1.689
0.403 -9.160 4.008
P Tc O Te
2 2 2 2
direct
0.250 0.250 0.746
0.750 0.750 0.254
0.250 0.250 0.953
0.750 0.750 0.047
0.750 0.250 0.000
0.250 0.750 0.000
0.750 0.250 0.500
0.250 0.750 0.500


Record 2
TcTePO PBE-GGA relaxed; DFT total energy = -0.2339 hartree per atom; space-group type = Pmc2_1, No. 26; theoretical density = 5.49 g/cm³; excess energy over the best structure of this formula in the dataset = 0.0 kJ per mole of atoms; calculated volume = 82.4 Å³/f.u.
1.0
-1.283 -3.747 0.431
3.690 -0.797 4.059
-5.024 2.297 5.018
O P Tc Te
2 2 2 2
direct
0.000 0.945 0.242
0.000 0.055 0.742
0.500 0.767 0.943
0.500 0.233 0.443
0.000 0.996 0.991
0.000 0.004 0.491
0.500 0.327 0.077
0.500 0.673 0.577


Record 3
TlTcPO PBE-GGA relaxed; DFT total energy = -0.2204 hartree per atom; space-group type = P4/nmm, No. 129; theoretical density = 8.86 g/cm³; excess energy over the best structure of this formula in the dataset = 20.7 kJ per mole of atoms; calculated volume = 65.5 Å³/f.u.
1.0
2.958 -2.958 0.000
2.958 2.958 0.000
0.000 0.000 7.487
Tc P O Tl
2 2 2 2
direct
0.500 0.000 0.500
0.000 0.500 0.500
0.500 0.500 0.360
0.000 0.000 0.640
0.000 0.500 0.000
0.500 0.000 0.000
0.500 0.500 0.858
0.000 0.000 0.142


Record 4
TlTcPO PBE-GGA relaxed; DFT total energy = -0.2283 hartree per atom; space-group type = Pmc2_1, No. 26; theoretical density = 7.42 g/cm³; excess energy over the best structure of this formula in the dataset = 0.0 kJ per mole of atoms; calculated volume = 78.2 Å³/f.u.
1.0
-0.089 -2.457 -2.056
3.845 -3.577 4.108
-5.976 -2.582 3.345
Tl Tc P O
2 2 2 2
direct
0.500 0.178 0.560
0.500 0.822 0.060
0.000 0.452 0.998
0.000 0.548 0.498
0.500 0.204 0.944
0.500 0.796 0.444
0.000 0.539 0.752
0.000 0.461 0.252


Record 5
TlTcPO PBE-GGA relaxed; DFT total energy = -0.2126 hartree per atom; space-group type = P4/nmm, No. 129; theoretical density = 7.14 g/cm³; excess energy over the best structure of this formula in the dataset = 41.2 kJ per mole of atoms; calculated volume = 81.3 Å³/f.u.
1.0
-1.232 2.404 3.199
-3.796 0.357 -1.730
-2.803 -7.549 4.594
Tc P Tl O
2 2 2 2
direct
0.000 0.500 0.955
0.500 0.000 0.045
0.500 0.000 0.274
0.000 0.500 0.726
0.500 0.500 0.500
0.000 0.000 0.500
0.500 0.500 0.000
0.000 0.000 0.000


Record 6
ZnTcPO PBE-GGA relaxed; DFT total energy = -0.2040 hartree per atom; space-group type = P4/nmm, No. 129; theoretical density = 6.73 g/cm³; excess energy over the best structure of this formula in the dataset = 58.5 kJ per mole of atoms; calculated volume = 51.9 Å³/f.u.
1.0
-0.984 -3.243 0.073
2.804 -0.889 -1.685
4.348 -1.142 7.836
O Tc P Zn
2 2 2 2
direct
0.500 0.500 0.000
0.000 0.000 0.000
0.500 0.000 0.857
0.000 0.500 0.143
0.500 0.000 0.271
0.000 0.500 0.729
0.000 0.000 0.500
0.500 0.500 0.500


Record 7
ZnTcPO PBE-GGA relaxed; DFT total energy = -0.2262 hartree per atom; space-group type = Pmc2_1, No. 26; theoretical density = 6.31 g/cm³; excess energy over the best structure of this formula in the dataset = 0.0 kJ per mole of atoms; calculated volume = 55.4 Å³/f.u.
1.0
-2.181 -1.387 -1.566
4.372 -2.605 -3.781
0.351 -4.551 3.541
P O Tc Zn
2 2 2 2
direct
0.500 0.196 0.375
0.500 0.804 0.875
0.000 0.245 0.874
0.000 0.755 0.374
0.000 0.000 0.624
0.000 0.000 0.124
0.500 0.561 0.381
0.500 0.439 0.881


Record 8
ZnTcPO PBE-GGA relaxed; DFT total energy = -0.2208 hartree per atom; space-group type = P4/nmm, No. 129; theoretical density = 5.28 g/cm³; excess energy over the best structure of this formula in the dataset = 14.2 kJ per mole of atoms; calculated volume = 66.1 Å³/f.u.
1.0
4.037 0.000 0.000
0.000 4.037 0.000
0.000 0.000 8.117
Tc Zn O P
2 2 2 2
direct
0.000 0.000 0.500
0.500 0.500 0.500
0.000 0.500 0.023
0.500 0.000 0.977
0.500 0.500 0.000
0.000 0.000 0.000
0.500 0.000 0.358
0.000 0.500 0.642


Record 9
ZnTcPO PBE-GGA relaxed; DFT total energy = -0.2176 hartree per atom; space-group type = Pmc2_1, No. 26; theoretical density = 6.47 g/cm³; excess energy over the best structure of this formula in the dataset = 22.6 kJ per mole of atoms; calculated volume = 54.0 Å³/f.u.
1.0
4.001 0.000 0.000
0.000 4.831 0.000
0.000 0.000 5.587
P Zn Tc O
2 2 2 2
direct
0.500 0.342 0.333
0.500 0.658 0.833
0.000 0.251 0.559
0.000 0.749 0.059
0.500 0.840 0.438
0.500 0.160 0.938
0.000 0.832 0.424
0.000 0.168 0.924


Record 10
ZrTcPO PBE-GGA relaxed; DFT total energy = -0.3112 hartree per atom; space-group type = Pmc2_1, No. 26; theoretical density = 6.14 g/cm³; excess energy over the best structure of this formula in the dataset = 38.9 kJ per mole of atoms; calculated volume = 63.9 Å³/f.u.
1.0
3.963 0.000 0.000
0.000 6.062 0.000
0.000 0.000 5.319
P O Zr Tc
2 2 2 2
direct
0.500 0.259 0.892
0.500 0.741 0.392
0.000 0.738 0.919
0.000 0.262 0.419
0.500 0.828 0.878
0.500 0.172 0.378
0.000 0.575 0.564
0.000 0.425 0.064


Record 11
ZrTcPO PBE-GGA relaxed; DFT total energy = -0.3260 hartree per atom; space-group type = P4/nmm, No. 129; theoretical density = 7.00 g/cm³; excess energy over the best structure of this formula in the dataset = 0.0 kJ per mole of atoms; calculated volume = 56.0 Å³/f.u.
1.0
4.010 0.000 0.000
0.000 4.010 0.000
0.000 0.000 6.967
Zr Tc O P
2 2 2 2
direct
0.500 0.000 0.863
0.000 0.500 0.137
0.000 0.000 0.500
0.500 0.500 0.500
0.500 0.500 0.000
0.000 0.000 0.000
0.000 0.500 0.677
0.500 0.000 0.323


Record 12
ZrTcPO PBE-GGA relaxed; DFT total energy = -0.2945 hartree per atom; space-group type = P4/nmm, No. 129; theoretical density = 6.80 g/cm³; excess energy over the best structure of this formula in the dataset = 82.7 kJ per mole of atoms; calculated volume = 57.7 Å³/f.u.
1.0
5.011 0.000 0.000
0.000 5.011 0.000
0.000 0.000 4.598
O P Tc Zr
2 2 2 2
direct
0.000 0.000 0.000
0.500 0.500 0.000
0.000 0.500 0.506
0.500 0.000 0.494
0.500 0.000 0.994
0.000 0.500 0.006
0.500 0.500 0.500
0.000 0.000 0.500


Question: What is the theoretical density in the first record?
Answer: 5.22 g/cm³